No. 1
Dy3ThAs4: optimized geometry, PBE.

The structure belongs to space group Cmmm (No. 65); the cell edges are 8.302, 11.743 and 4.163 Å and the angles 90.00°, 90.00° and 90.00°. The distinct sites, in fractional coordinates, are Dy at (0.000, 0.000, 0.000), Dy at (0.250, 0.250, 0.500), Th at (0.000, 0.500, 0.000), As at (0.000, 0.248, 0.000) and As at (0.245, 0.000, 0.500).

The raw total energy is -6.492 eV per atom. The density comes out at 8.34 g/cm3.

No. 2
Cu2Ag: optimized geometry, PBE.

The structure belongs to space group Immm (No. 71); the cell edges are 2.794, 3.443 and 26.031 Å and the angles 90.00°, 90.00° and 90.00°. The distinct sites, in fractional coordinates, are Cu at (0.000, 0.000, 0.059), Cu at (0.000, 0.000, 0.155), Cu at (0.000, 0.000, 0.393), Ag at (0.000, 0.000, 0.286) and Ag at (0.000, 0.000, 0.500).

The raw total energy is -3.346 eV per atom. As for the polymorph energy (0 for the lowest one): 0.083 eV/f.u. Its formation energy from the elements is 0.07 eV/atom. The density comes out at 9.35 g/cm3.

No. 3
CdSe2: optimized geometry, PBE.

The structure belongs to space group Fd-3m (No. 227, origin choice 2); the cell edges are 8.213, 8.213 and 8.213 Å and the angles 90.00°, 90.00° and 90.00°. The distinct sites, in fractional coordinates, are Cd at (0.125, 0.125, 0.125) and Se at (0.000, 0.000, 0.500).

The raw total energy is -2.240 eV per atom. The density comes out at 6.48 g/cm3.

No. 4
AlFeCuHg: optimized geometry, PBE.

The structure belongs to space group F-43m (No. 216); the cell edges are 6.206, 6.206 and 6.206 Å and the angles 90.00°, 90.00° and 90.00°. The distinct sites, in fractional coordinates, are Al at (0.000, 0.000, 0.000), Fe at (0.250, 0.250, 0.750), Cu at (0.250, 0.250, 0.250) and Hg at (0.000, 0.000, 0.500).

The raw total energy is -3.831 eV per atom. As for the polymorph energy (0 for the lowest one): 0.000 eV/f.u. The density comes out at 9.64 g/cm3.